[1]
Compound: Cs2MgSbBr6
Source: Alexandria
Functional: GGA-PBE
Structure: relaxed

Values from the calculation:
Raw total energy: -2.983 eV/atom
Mass density: 3.865 Mg/m³
Uncorrected formation energy: -1.237 eV per atom

Cell and atoms, written as CIF:
```
data_Cs2MgSbBr6
_space_group_name_H-M_alt 'I 4/m m m'
_space_group_IT_number 139
_space_group_name_Hall '-I 4 2'
_cell_length_a 7.940
_cell_length_b 7.940
_cell_length_c 12.147
_cell_angle_alpha 90.00
_cell_angle_beta 90.00
_cell_angle_gamma 90.00
loop_
_atom_site_label
_atom_site_type_symbol
_atom_site_fract_x
_atom_site_fract_y
_atom_site_fract_z
Cs1 Cs 0.000 0.500 0.250
Mg1 Mg 0.000 0.000 0.000
Sb1 Sb 0.000 0.000 0.500
Br1 Br 0.000 0.000 0.211
Br2 Br 0.249 0.249 0.000
```



[2]
Compound: NaThSnHg
Source: Alexandria
Functional: GGA-PBE
Structure: relaxed

Values from the calculation:
Raw total energy: -3.518 eV/atom
Mass density: 8.792 Mg/m³
DFT formation energy: -99 kJ/mol of formula units

Cell and atoms, written as CIF:
```
data_NaThSnHg
_space_group_name_H-M_alt 'F -4 3 m'
_space_group_IT_number 216
_space_group_name_Hall 'F -4 2 3'
_cell_length_a 7.571
_cell_length_b 7.571
_cell_length_c 7.571
_cell_angle_alpha 90.00
_cell_angle_beta 90.00
_cell_angle_gamma 90.00
loop_
_atom_site_label
_atom_site_type_symbol
_atom_site_fract_x
_atom_site_fract_y
_atom_site_fract_z
Na1 Na 0.000 0.000 0.000
Th1 Th 0.000 0.000 0.500
Sn1 Sn 0.250 0.250 0.750
Hg1 Hg 0.250 0.250 0.250
```



[3]
Compound: AcSmHg4
Source: Alexandria
Functional: GGA-PBE
Structure: relaxed

Values from the calculation:
Raw total energy: -1.965 eV/atom
Mass density: 12.058 Mg/m³
DFT formation energy: -169 kJ/mol of formula units
Energy above the most stable polymorph in this dataset: 0.1331 eV/atom

Cell and atoms, written as CIF:
```
data_AcSmHg4
_space_group_name_H-M_alt 'F -4 3 m'
_space_group_IT_number 216
_space_group_name_Hall 'F -4 2 3'
_cell_length_a 8.662
_cell_length_b 8.662
_cell_length_c 8.662
_cell_angle_alpha 90.00
_cell_angle_beta 90.00
_cell_angle_gamma 90.00
loop_
_atom_site_label
_atom_site_type_symbol
_atom_site_fract_x
_atom_site_fract_y
_atom_site_fract_z
Ac1 Ac 0.000 0.000 0.000
Sm1 Sm 0.250 0.250 0.750
Hg1 Hg 0.125 0.125 0.375
```



[4]
Compound: ScGeBi2
Source: Alexandria
Functional: GGA-PBE
Structure: relaxed

Values from the calculation:
Raw total energy: -4.580 eV/atom
Mass density: 5.970 Mg/m³
DFT formation energy: 38 kJ/mol of formula units

Cell and atoms, written as CIF:
```
data_ScGeBi2
_space_group_name_H-M_alt 'I -4 2 d'
_space_group_IT_number 122
_space_group_name_Hall 'I -4 2bw'
_cell_length_a 6.700
_cell_length_b 6.700
_cell_length_c 13.276
_cell_angle_alpha 90.00
_cell_angle_beta 90.00
_cell_angle_gamma 90.00
loop_
_atom_site_label
_atom_site_type_symbol
_atom_site_fract_x
_atom_site_fract_y
_atom_site_fract_z
Sc1 Sc 0.000 0.000 0.000
Ge1 Ge 0.000 0.000 0.500
Bi1 Bi 0.239 0.250 0.625
```